The following is a DFT calculation (meta-GGA SCAN) of a PBEsol-optimized structure of CaCuSi2.

Unit cell a=3.238 b=3.238 c=6.416 alpha=90.00 beta=90.00 gamma=90.00
Space group P4mm (No. 99)
Inequivalent atoms, fractional coordinates:
Ca  0.000  0.000  0.000 x1
Cu  0.500  0.500  0.323 x1
Si  0.000  0.000  0.490 x1
Si  0.500  0.500  0.689 x1

Properties
N(E_F), states/eV/f.u.: 1.754
E_tot, hartree per atom: -0.411
Total magnetic moment, μB per atom: 0.000



The following is a DFT calculation (meta-GGA SCAN) of a PBEsol-optimized structure of Ba2ZrRe.

Unit cell a=3.690 b=5.918 c=11.399 alpha=90.00 beta=90.00 gamma=90.00
Space group Imm2 (No. 44)
Inequivalent atoms, fractional coordinates:
Ba  0.000  0.000  0.000 x2
Ba  0.000  0.500  0.196 x2
Zr  0.000  0.000  0.391 x2
Re  0.000  0.500  0.743 x2

Properties
N(E_F), states/eV/f.u.: 2.843
Offset from the most stable computed form, meV/atom: 0
Total magnetic moment, μB per atom: 0.000
Calculated formation energy, eV per atom: 0.65



The following is a DFT calculation (meta-GGA SCAN) of a PBEsol-optimized structure of Co2PbAu.

Unit cell a=3.220 b=4.310 c=9.012 alpha=90.00 beta=90.00 gamma=90.00
Space group Imm2 (No. 44)
Inequivalent atoms, fractional coordinates:
Co  0.000  0.000  0.000 x2
Co  0.000  0.500  0.313 x2
Pb  0.000  0.500  0.772 x2
Au  0.000  0.000  0.553 x2

Properties
N(E_F), states/eV/f.u.: 2.894
Total magnetic moment, μB per atom: 0.857
Calculated formation energy, eV per atom: 0.42



The following is a DFT calculation (meta-GGA SCAN) of a PBEsol-optimized structure of KSr2.

Unit cell a=16.081 b=4.240 c=10.343 alpha=90.00 beta=106.03 gamma=90.00
Space group Cm (No. 8)
Inequivalent atoms, fractional coordinates:
K  0.000  0.000  0.000 x2
K  0.162  0.500  0.331 x2
Sr  0.054  0.000  0.615 x2
Sr  0.227  0.500  0.938 x2
Sr  0.332  0.000  0.663 x2
Sr  0.385  0.000  0.285 x2

Properties
N(E_F), states/eV/f.u.: 3.075
Total magnetic moment, μB per atom: 0.008
Calculated formation energy, eV per atom: 0.09



Question: Which of these has the highest total magnetic moment?
Answer: Co2PbAu



Question: total magnetic moment of number 4 (KSr2)?
Answer: 0.008 μB per atom



Question: Which of these has the highest N(E_F)?
Answer: KSr2